Record 1
A geometry-optimized Li4Ag2Bi3 structure. Source: the Alexandria database, functional PBE-GGA.

Summary:
SG: C2/c, No. 15

Cell lengths 9.2599, 8.3668, 8.3668 Å; angles 61.40, 54.99, 54.99 degrees
Closest atoms and distances in Å follow each position.
Atoms (fractional coordinates):
Li 0.3325 0.5438 0.7521  3 Ag 2.87-3.18, 4 Bi 2.89-3.07, 3 Li 2.90-3.01
Li 0.1122 0.6246 0.1635  1 Ag 2.76, 3 Li 2.90-3.01, 2 Bi 2.95-3.07
Li 0.8878 0.3754 0.8365  1 Ag 2.76, 3 Li 2.90-3.01, 2 Bi 2.95-3.07
Li 0.8325 0.7521 0.5438  3 Ag 2.87-3.18, 4 Bi 2.89-3.07, 3 Li 2.90-3.01
Li 0.1675 0.2479 0.4562  3 Ag 2.87-3.18, 4 Bi 2.89-3.07, 3 Li 2.90-3.01
Li 0.6675 0.4562 0.2479  3 Ag 2.87-3.18, 4 Bi 2.89-3.07, 3 Li 2.90-3.01
Li 0.3878 0.8365 0.3754  1 Ag 2.76, 3 Li 2.90-3.01, 2 Bi 2.95-3.07
Li 0.6122 0.1635 0.6246  1 Ag 2.76, 3 Li 2.90-3.01, 2 Bi 2.95-3.07
Ag 0.9324 0.6652 0.8529  3 Li 2.76-2.90, 1 Ag 2.88, 3 Bi 2.89-2.97
Ag 0.0676 0.3348 0.1471  3 Li 2.76-2.90, 1 Ag 2.88, 3 Bi 2.89-2.97
Ag 0.5676 0.1471 0.3348  3 Li 2.76-2.90, 1 Ag 2.88, 3 Bi 2.89-2.97
Ag 0.4324 0.8529 0.6652  3 Li 2.76-2.90, 1 Ag 2.88, 3 Bi 2.89-2.97
Bi 0.4758 0.1844 0.0331  2 Ag 2.89-2.93, 4 Li 2.93-3.07, 1 Bi 3.13
Bi 0.0242 0.9669 0.8156  2 Ag 2.89-2.93, 4 Li 2.93-3.07, 1 Bi 3.13
Bi 0.5242 0.8156 0.9669  2 Ag 2.89-2.93, 4 Li 2.93-3.07, 1 Bi 3.13
Bi 0.7500 0.4823 0.5177  6 Li 2.89-3.14, 2 Ag 2.97
Bi 0.2500 0.5177 0.4823  6 Li 2.89-3.14, 2 Ag 2.97
Bi 0.9758 0.0331 0.1844  2 Ag 2.89-2.93, 4 Li 2.93-3.07, 1 Bi 3.13

=====

Record 2
A geometry-optimized Li2AgBi2 structure. Source: the Alexandria database, functional PBE-GGA.

Summary:
SG: C2/m, No. 12
Distance to the lowest polymorph of the same formula (eV/atom): 0.000

Cell lengths 4.2990, 5.3941, 11.6085 Å; angles 68.85, 79.33, 66.52 degrees
Closest atoms and distances in Å follow each position.
Atoms (fractional coordinates):
Li 0.3516 0.2420 0.0548  5 Bi 2.96-3.18, 2 Ag 2.97, 3 Li 3.03-3.27
Li 0.4604 0.7449 0.3343  5 Bi 3.00-3.16, 3 Ag 3.03-3.20, 1 Li 3.35
Li 0.6484 0.7580 0.9452  5 Bi 2.96-3.18, 2 Ag 2.97, 3 Li 3.03-3.27
Li 0.5396 0.2551 0.6657  5 Bi 3.00-3.16, 3 Ag 3.03-3.20, 1 Li 3.35
Ag 0.7600 0.2457 0.2343  5 Li 2.97-3.20, 5 Bi 2.98-3.18
Ag 0.2400 0.7543 0.7657  5 Li 2.97-3.20, 5 Bi 2.98-3.18
Bi 0.8385 0.7471 0.5759  3 Li 3.00-3.16, 2 Ag 3.06, 3 Bi 3.33-3.35
Bi 0.1615 0.2529 0.4241  3 Li 3.00-3.16, 2 Ag 3.06, 3 Bi 3.33-3.35
Bi 0.0565 0.7435 0.1435  7 Li 2.96-3.18, 3 Ag 2.98-3.18
Bi 0.9435 0.2565 0.8565  7 Li 2.96-3.18, 3 Ag 2.98-3.18

=====

Record 3
A geometry-optimized Li6Ag2Bi structure. Source: the Alexandria database, functional PBE-GGA.

Summary:
SG: C2/m, No. 12
Distance to the lowest polymorph of the same formula (eV/atom): 0.009

Cell lengths 3.1102, 8.1378, 8.1378 Å; angles 57.04, 77.25, 77.25 degrees
Closest atoms and distances in Å follow each position.
Atoms (fractional coordinates):
Bi 0.0000 0.0000 0.0000  12 Li 3.02-3.17, 2 Bi 3.11
Li 0.3226 0.3468 0.9931  3 Li 2.65-2.87, 2 Ag 2.84-2.93
Li 0.6791 0.0069 0.6531  3 Li 2.65-2.87, 2 Ag 2.84-2.94
Li 0.4990 0.3328 0.6672  3 Li 2.60-2.65, 4 Ag 2.91
Li 0.4990 0.6672 0.3328  3 Li 2.60-2.65, 4 Ag 2.91
Li 0.6791 0.6531 0.0069  3 Li 2.65-2.87, 2 Ag 2.84-2.94
Li 0.3226 0.9931 0.3468  3 Li 2.65-2.87, 2 Ag 2.84-2.93
Ag 0.8250 0.6508 0.6508  10 Li 2.84-3.00, 2 Ag 3.11
Ag 0.1737 0.3492 0.3492  10 Li 2.84-2.99, 2 Ag 3.11

=====

Record 4
A geometry-optimized LiAgBi3 structure. Source: the Alexandria database, functional PBE-GGA.

Summary:
SG: Pm-3m, No. 221
Distance to the lowest polymorph of the same formula (eV/atom): 0.052

Cell lengths 5.5792, 5.5792, 5.5792 Å; angles 90.00, 90.00, 90.00 degrees
Closest atoms and distances in Å follow each position.
Atoms (fractional coordinates):
Li 0.5000 0.5000 0.5000  12 Bi 3.95
Bi 0.5000 0.0000 0.0000  2 Ag 2.79
Bi 0.0000 0.0000 0.5000  2 Ag 2.79
Bi 0.0000 0.5000 0.0000  2 Ag 2.79
Ag 0.0000 0.0000 0.0000  6 Bi 2.79

=====

Record 5
A geometry-optimized Li4AgBi2 structure. Source: the Alexandria database, functional PBE-GGA.

Summary:
SG: P2_1/m, No. 11
Distance to the lowest polymorph of the same formula (eV/atom): 0.085

Cell lengths 8.1075, 5.6311, 8.1408 Å; angles 90.00, 122.90, 90.00 degrees
Closest atoms and distances in Å follow each position.
Atoms (fractional coordinates):
Li 0.5594 0.9993 0.2210  2 Li 2.81-2.82, 1 Ag 2.85, 4 Bi 2.93-3.09
Li 0.9833 0.7500 0.5764  1 Ag 2.75, 1 Bi 2.93
Li 0.8860 0.2500 0.9876  1 Ag 2.96, 3 Bi 3.04-3.19, 3 Li 3.10-3.31
Li 0.1140 0.7500 0.0124  1 Ag 2.96, 3 Bi 3.04-3.19, 3 Li 3.10-3.31
Li 0.5594 0.5007 0.2210  2 Li 2.81-2.82, 1 Ag 2.85, 4 Bi 2.93-3.09
Li 0.4406 0.0007 0.7790  2 Li 2.81-2.82, 1 Ag 2.85, 4 Bi 2.93-3.09
Li 0.0167 0.2500 0.4236  1 Ag 2.75, 1 Bi 2.93
Li 0.4406 0.4993 0.7790  2 Li 2.81-2.82, 1 Ag 2.85, 4 Bi 2.93-3.09
Bi 0.3690 0.2500 0.4078  3 Ag 2.90-3.12, 5 Li 2.93-3.09
Bi 0.1919 0.2500 0.8815  1 Ag 2.82, 5 Li 2.93-3.09
Bi 0.8081 0.7500 0.1185  1 Ag 2.82, 5 Li 2.93-3.09
Bi 0.6310 0.7500 0.5922  3 Ag 2.90-3.12, 5 Li 2.93-3.09
Ag 0.7897 0.2500 0.5809  4 Li 2.75-2.96, 2 Bi 2.82-2.90
Ag 0.2103 0.7500 0.4191  4 Li 2.75-2.96, 2 Bi 2.82-2.90

=====

Record 6
A geometry-optimized Li2Ag3Bi2 structure. Source: the Alexandria database, functional PBE-GGA.

Summary:
SG: C2/m, No. 12

Cell lengths 4.8098, 4.8530, 7.7020 Å; angles 107.28, 90.00, 119.71 degrees
Closest atoms and distances in Å follow each position.
Atoms (fractional coordinates):
Li 0.9328 0.8655 0.3021  1 Li 2.87, 3 Ag 2.90, 3 Bi 2.91-2.92
Li 0.0672 0.1345 0.6979  1 Li 2.87, 3 Ag 2.90, 3 Bi 2.91-2.92
Ag 0.3653 0.7307 0.5909  3 Li 2.90, 3 Bi 2.93-3.21, 4 Ag 2.96-3.11
Ag 0.5000 0.0000 0.0000  2 Ag 2.96, 6 Bi 3.09-3.11
Ag 0.6347 0.2693 0.4091  3 Li 2.90, 3 Bi 2.93-3.21, 4 Ag 2.96-3.11
Bi 0.2285 0.4571 0.1865  3 Li 2.91-2.92, 7 Ag 2.93-3.26
Bi 0.7715 0.5429 0.8135  3 Li 2.91-2.92, 7 Ag 2.93-3.26

=====

Number 1: D(E_F) 8.7 states/eV per cell, formation energy -4.58 kcal/mol of atoms. Number 2: D(E_F) 2.5 states/eV per cell, formation energy -5.55 kcal/mol of atoms. Number 3: D(E_F) 2.0 states/eV per cell, formation energy -4.61 kcal/mol of atoms. Number 4: D(E_F) 3.2 states/eV per cell, formation energy 8.45 kcal/mol of atoms. Number 5: D(E_F) 3.8 states/eV per cell, formation energy -6.28 kcal/mol of atoms. Number 6: D(E_F) 2.4 states/eV per cell, formation energy -3.39 kcal/mol of atoms.